## Ba2CuNiPd (PBE)

Data for an optimized crystal structure of Ba2CuNiPd.

Summary:
DOS at the Fermi energy = 0.268 states/eV per atom
Total moment = 0.000 μB per formula unit
Space group = P4/mmm (123)
Energy of formation = 0.066 eV/atom
Crystal system = tetragonal

Geometry as POSCAR:
```
Ba2CuNiPd
1.0
5.782 0.000 0.000
0.000 4.480 0.000
0.000 0.000 5.782
Ni Cu Ba Pd
1 1 2 1
Direct
0.000 0.000 0.000
0.000 0.500 0.000
0.000 0.000 0.500
0.500 0.000 0.000
0.500 0.500 0.500
```